(1)
Crystalline PmErPd2 at its relaxed geometry, computed with PBE.

a b c (Å): 5.0127 5.0127 5.0127
angles (deg): 60.00 60.00 60.00
Element x y z (fractional)
Pd (0.7500, 0.7500, 0.7500)
Pd (0.2500, 0.2500, 0.2500)
Pm (0.0000, 0.0000, 0.0000)
Er (0.5000, 0.5000, 0.5000)

Output
- Formation enthalpy at 0 K: -0.8327 eV per atom
- Calculated volume: 89.1 Å³/f.u.
- Density of states at the Fermi level: 3.74 states/eV/cell
- Energy above the lowest structure with this stoichiometry: 0.047 eV per atom
- Space-group type: Fm-3m
- Energy: -5.757 eV/atom


(2)
Crystalline PmErPd2 at its relaxed geometry, computed with PBE.

a b c (Å): 4.1454 4.1454 7.0321
angles (deg): 72.86 72.86 60.00
Element x y z (fractional)
Er (0.5000, 0.5000, 0.5000)
Pd (0.7551, 0.7551, 0.7347)
Pd (0.2449, 0.2449, 0.2653)
Pm (0.0000, 0.0000, 0.0000)

Output
- Formation enthalpy at 0 K: -0.7221 eV per atom
- Calculated volume: 98.4 Å³/f.u.
- Density of states at the Fermi level: 2.57 states/eV/cell
- Energy above the lowest structure with this stoichiometry: 0.158 eV per atom
- Space-group type: R-3m
- Energy: -5.647 eV/atom


(3)
Crystalline PmEr2Pd9 at its relaxed geometry, computed with PBE.

a b c (Å): 4.1363 4.1363 12.3658
angles (deg): 90.00 90.00 90.00
Element x y z (fractional)
Pd (0.5000, 0.0000, 0.8281)
Pd (0.0000, 0.5000, 0.1719)
Pd (0.0000, 0.5000, 0.5000)
Pd (0.5000, 0.5000, 0.3349)
Pd (0.5000, 0.0000, 0.1719)
Pd (0.0000, 0.5000, 0.8281)
Pd (0.5000, 0.0000, 0.5000)
Pd (0.5000, 0.5000, 0.6651)
Pd (0.5000, 0.5000, 0.0000)
Er (0.0000, 0.0000, 0.3367)
Er (0.0000, 0.0000, 0.6633)
Pm (0.0000, 0.0000, 0.0000)

Output
- Formation enthalpy at 0 K: -0.8599 eV per atom
- Calculated volume: 211.6 Å³/f.u.
- Density of states at the Fermi level: 9.15 states/eV/cell
- Space-group type: P4/mmm
- Energy: -5.911 eV/atom


(4)
Crystalline PmEr3Pd at its relaxed geometry, computed with PBE.

a b c (Å): 7.5698 7.5698 7.1290
angles (deg): 102.17 115.91 112.95
Element x y z (fractional)
Pm (0.7343, 0.0425, 0.7767)
Pm (0.2657, 0.9575, 0.2233)
Er (0.3015, 0.5742, 0.8757)
Er (0.6985, 0.4258, 0.1243)
Er (0.1669, 0.9012, 0.6654)
Er (0.2359, 0.5016, 0.3346)
Er (0.7641, 0.4984, 0.6654)
Er (0.8331, 0.0988, 0.3346)
Pd (0.6522, 0.7241, 0.3763)
Pd (0.3478, 0.2759, 0.6237)

Output
- Formation enthalpy at 0 K: -0.2806 eV per atom
- Calculated volume: 150.2 Å³/f.u.
- Density of states at the Fermi level: 13.95 states/eV/cell
- Space-group type: C2/m
- Energy: -5.007 eV/atom


What is the formula in the fourth record?
PmEr3Pd


Among the records above, which one has the lowest energy?
PmEr2Pd9